# Hg2TeH, optimized geometry, DFT PBE-GGA
# Excess energy over the best structure of this formula in the dataset = 172.2 meV/atom
data_Hg2TeH
_chemical_formula_sum 'Hg8 Te4 H4'
_space_group_name_H-M_alt 'I -4 2 d'
_space_group_IT_number 122
_space_group_name_Hall 'I -4 2bw'
_cell_length_a 5.265
_cell_length_b 5.265
_cell_length_c 13.730
_cell_angle_alpha 90.00
_cell_angle_beta 90.00
_cell_angle_gamma 90.00
loop_
_atom_site_label
_atom_site_type_symbol
_atom_site_fract_x
_atom_site_fract_y
_atom_site_fract_z
Hg1 Hg 0.130 0.250 0.125
Te1 Te 0.000 0.000 0.500
H1 H 0.000 0.000 0.000


# Hg2TeH, optimized geometry, DFT PBE-GGA
# Excess energy over the best structure of this formula in the dataset = 439.0 meV/atom
data_Hg2TeH
_chemical_formula_sum 'Hg8 Te4 H4'
_space_group_name_H-M_alt 'F m -3 m'
_space_group_IT_number 225
_space_group_name_Hall '-F 4 2 3'
_cell_length_a 7.137
_cell_length_b 7.137
_cell_length_c 7.137
_cell_angle_alpha 90.00
_cell_angle_beta 90.00
_cell_angle_gamma 90.00
loop_
_atom_site_label
_atom_site_type_symbol
_atom_site_fract_x
_atom_site_fract_y
_atom_site_fract_z
Hg1 Hg 0.250 0.250 0.250
Te1 Te 0.000 0.000 0.000
H1 H 0.000 0.000 0.500


# HgTeH, optimized geometry, DFT PBE-GGA
# Excess energy over the best structure of this formula in the dataset = 0.0 meV/atom
data_HgTeH
_chemical_formula_sum 'Hg4 Te4 H4'
_space_group_name_H-M_alt 'I m m m'
_space_group_IT_number 71
_space_group_name_Hall '-I 2 2'
_cell_length_a 3.204
_cell_length_b 5.616
_cell_length_c 16.575
_cell_angle_alpha 90.00
_cell_angle_beta 90.00
_cell_angle_gamma 90.00
loop_
_atom_site_label
_atom_site_type_symbol
_atom_site_fract_x
_atom_site_fract_y
_atom_site_fract_z
Hg1 Hg 0.000 0.000 0.186
Te1 Te 0.000 0.500 0.137
H1 H 0.000 0.433 0.500


# Hg2TeH, optimized geometry, DFT PBE-GGA
# Excess energy over the best structure of this formula in the dataset = 31.1 meV/atom
data_Hg2TeH
_chemical_formula_sum 'Hg6 Te3 H3'
_space_group_name_H-M_alt 'R -3 m'
_space_group_IT_number 166
_space_group_name_Hall '-R 3 2"'
_cell_length_a 4.5139
_cell_length_b 4.5139
_cell_length_c 20.4255
_cell_angle_alpha 90.00
_cell_angle_beta 90.00
_cell_angle_gamma 120.00
loop_
_atom_site_label
_atom_site_type_symbol
_atom_site_fract_x
_atom_site_fract_y
_atom_site_fract_z
Hg1 Hg 0.0000 0.0000 0.0906
Te1 Te 0.0000 0.0000 0.5000
H1 H 0.0000 0.0000 0.0000


# HgTe2H, optimized geometry, DFT PBE-GGA
# Excess energy over the best structure of this formula in the dataset = 236.6 meV/atom
data_HgTe2H
_chemical_formula_sum 'Hg4 Te8 H4'
_space_group_name_H-M_alt 'I -4 2 d'
_space_group_IT_number 122
_space_group_name_Hall 'I -4 2bw'
_cell_length_a 6.129
_cell_length_b 6.129
_cell_length_c 10.726
_cell_angle_alpha 90.00
_cell_angle_beta 90.00
_cell_angle_gamma 90.00
loop_
_atom_site_label
_atom_site_type_symbol
_atom_site_fract_x
_atom_site_fract_y
_atom_site_fract_z
Hg1 Hg 0.000 0.000 0.000
Te1 Te 0.168 0.250 0.625
H1 H 0.000 0.000 0.500


# HgTeH2, optimized geometry, DFT PBE-GGA
# Excess energy over the best structure of this formula in the dataset = 593.0 meV/atom
data_HgTeH2
_chemical_formula_sum 'Hg4 Te4 H8'
_space_group_name_H-M_alt 'F m -3 m'
_space_group_IT_number 225
_space_group_name_Hall '-F 4 2 3'
_cell_length_a 6.180
_cell_length_b 6.180
_cell_length_c 6.180
_cell_angle_alpha 90.00
_cell_angle_beta 90.00
_cell_angle_gamma 90.00
loop_
_atom_site_label
_atom_site_type_symbol
_atom_site_fract_x
_atom_site_fract_y
_atom_site_fract_z
Hg1 Hg 0.000 0.000 0.000
Te1 Te 0.000 0.000 0.500
H1 H 0.250 0.250 0.250


Density functional theory data (PBE-GGA) for crystalline Hg5Te2H2 at its relaxed geometry.

Structure (CIF):
```
data_Hg5Te2H2
_chemical_formula_sum 'Hg20 Te8 H8'
_space_group_name_H-M_alt 'I m a 2'
_space_group_IT_number 46
_cell_length_a 17.521
_cell_length_b 6.311
_cell_length_c 9.338
_cell_angle_alpha 90.00
_cell_angle_beta 90.00
_cell_angle_gamma 90.00
loop_
_space_group_symop_operation_xyz
'x,y,z'
'-x,-y,z'
'-x+1/2,y,z'
'x+1/2,-y,z'
'x+1/2,y+1/2,z+1/2'
'-x+1/2,-y+1/2,z+1/2'
'-x,y+1/2,z+1/2'
'x,-y+1/2,z+1/2'
loop_
_atom_site_label
_atom_site_type_symbol
_atom_site_fract_x
_atom_site_fract_y
_atom_site_fract_z
Hg1 Hg 0.094 0.080 0.000
Hg2 Hg 0.109 0.705 0.758
Hg3 Hg 0.250 0.122 0.649
Te1 Te 0.000 0.000 0.421
Te2 Te 0.250 0.058 0.351
H1 H 0.164 0.593 0.183
```


# HgTe2H, optimized geometry, DFT PBE-GGA
# Excess energy over the best structure of this formula in the dataset = 617.3 meV/atom
data_HgTe2H
_chemical_formula_sum 'Hg4 Te8 H4'
_space_group_name_H-M_alt 'F m -3 m'
_space_group_IT_number 225
_space_group_name_Hall '-F 4 2 3'
_cell_length_a 7.120
_cell_length_b 7.120
_cell_length_c 7.120
_cell_angle_alpha 90.00
_cell_angle_beta 90.00
_cell_angle_gamma 90.00
loop_
_atom_site_label
_atom_site_type_symbol
_atom_site_fract_x
_atom_site_fract_y
_atom_site_fract_z
Hg1 Hg 0.000 0.000 0.000
Te1 Te 0.250 0.250 0.250
H1 H 0.000 0.000 0.500


# HgTe2H2, optimized geometry, DFT PBE-GGA
# Excess energy over the best structure of this formula in the dataset = 188.7 meV/atom
data_HgTe2H2
_chemical_formula_sum 'Hg2 Te4 H4'
_space_group_name_H-M_alt 'P 4/m b m'
_space_group_IT_number 127
_space_group_name_Hall '-P 4 2ab'
_cell_length_a 8.402
_cell_length_b 8.402
_cell_length_c 3.634
_cell_angle_alpha 90.00
_cell_angle_beta 90.00
_cell_angle_gamma 90.00
loop_
_atom_site_label
_atom_site_type_symbol
_atom_site_fract_x
_atom_site_fract_y
_atom_site_fract_z
Hg1 Hg 0.000 0.000 0.000
Te1 Te 0.200 0.300 0.000
H1 H 0.241 0.741 0.500


# HgTe2H2, optimized geometry, DFT PBE-GGA
# Excess energy over the best structure of this formula in the dataset = 68.4 meV/atom
data_HgTe2H2
_chemical_formula_sum 'Hg2 Te4 H4'
_space_group_name_H-M_alt 'C 1 2/m 1'
_space_group_IT_number 12
_cell_length_a 7.460
_cell_length_b 4.481
_cell_length_c 7.390
_cell_angle_alpha 90.00
_cell_angle_beta 112.39
_cell_angle_gamma 90.00
loop_
_space_group_symop_operation_xyz
'x,y,z'
'-x,-y,-z'
'-x,y,-z'
'x,-y,z'
'x+1/2,y+1/2,z'
'-x+1/2,-y+1/2,-z'
'-x+1/2,y+1/2,-z'
'x+1/2,-y+1/2,z'
loop_
_atom_site_label
_atom_site_type_symbol
_atom_site_fract_x
_atom_site_fract_y
_atom_site_fract_z
Hg1 Hg 0.000 0.000 0.000
Te1 Te 0.197 0.500 0.292
H1 H 0.020 0.500 0.687


# HgTe3H, optimized geometry, DFT PBE-GGA
# Excess energy over the best structure of this formula in the dataset = 462.4 meV/atom
data_HgTe3H
_chemical_formula_sum 'Hg1 Te3 H1'
_space_group_name_H-M_alt 'P m -3 m'
_space_group_IT_number 221
_space_group_name_Hall '-P 4 2 3'
_cell_length_a 5.709
_cell_length_b 5.709
_cell_length_c 5.709
_cell_angle_alpha 90.00
_cell_angle_beta 90.00
_cell_angle_gamma 90.00
loop_
_atom_site_label
_atom_site_type_symbol
_atom_site_fract_x
_atom_site_fract_y
_atom_site_fract_z
Hg1 Hg 0.000 0.000 0.000
Te1 Te 0.000 0.000 0.500
H1 H 0.500 0.500 0.500


Density functional theory data (PBE-GGA) for crystalline HgTeH4 at its relaxed geometry.

Structure (CIF):
```
data_HgTeH4
_chemical_formula_sum 'Hg4 Te4 H16'
_space_group_name_H-M_alt 'C 1 2/c 1'
_space_group_IT_number 15
_cell_length_a 7.333
_cell_length_b 13.919
_cell_length_c 5.146
_cell_angle_alpha 90.00
_cell_angle_beta 120.36
_cell_angle_gamma 90.00
loop_
_space_group_symop_operation_xyz
'x,y,z'
'-x,-y,-z'
'-x,y,-z+1/2'
'x,-y,z+1/2'
'x+1/2,y+1/2,z'
'-x+1/2,-y+1/2,-z'
'-x+1/2,y+1/2,-z+1/2'
'x+1/2,-y+1/2,z+1/2'
loop_
_atom_site_label
_atom_site_type_symbol
_atom_site_fract_x
_atom_site_fract_y
_atom_site_fract_z
Hg1 Hg 0.000 0.091 0.250
Te1 Te 0.000 0.365 0.750
H1 H 0.101 0.279 0.015
H2 H 0.151 0.091 0.625
```


Number 1: final energy -24.01 eV per cell. Number 2: final energy -19.74 eV per cell. Number 3: final energy -27.03 eV per cell. Number 4: final energy -19.70 eV per cell. Number 5: final energy -34.44 eV per cell. Number 6: final energy -26.67 eV per cell. Number 7: final energy -53.59 eV per cell. Number 8: final energy -28.35 eV per cell. Number 9: final energy -23.48 eV per cell. Number 10: final energy -24.68 eV per cell. Number 11: final energy -7.96 eV per cell. Number 12: final energy -61.11 eV per cell.